Record 1
This record from Alexandria via LeMat-Bulk describes a geometry-optimized KNi2P structure. The functional is PBE.

Structure (CIF):
```
data_KNi2P
_symmetry_space_group_name_H-M 'I 41/a m d'
_symmetry_Int_Tables_number 141
_cell_length_a 5.0272
_cell_length_b 5.0272
_cell_length_c 13.9828
_cell_angle_alpha 90.00
_cell_angle_beta 90.00
_cell_angle_gamma 90.00
loop_
_symmetry_equiv_pos_as_xyz
'x,y,z'
'-x,-y,-z'
'-y+1/4,x+3/4,z+1/4'
'y+1/4,-x+3/4,-z+1/4'
'-x+1/2,-y,z+1/2'
'x+1/2,y,-z+1/2'
'y+1/4,-x+1/4,z+3/4'
'-y+1/4,x+1/4,-z+3/4'
'x,-y,-z'
'-x,y,z'
'-y+1/4,-x+1/4,-z+3/4'
'y+1/4,x+1/4,z+3/4'
'-x+1/2,y,-z+1/2'
'x+1/2,-y,z+1/2'
'y+1/4,x+3/4,-z+1/4'
'-y+1/4,-x+3/4,z+1/4'
'x+1/2,y+1/2,z+1/2'
'-x+1/2,-y+1/2,-z+1/2'
'-y+3/4,x+1/4,z+3/4'
'y+3/4,-x+1/4,-z+3/4'
'-x,-y+1/2,z'
'x,y+1/2,-z'
'y+3/4,-x+3/4,z+1/4'
'-y+3/4,x+3/4,-z+1/4'
'x+1/2,-y+1/2,-z+1/2'
'-x+1/2,y+1/2,z+1/2'
'-y+3/4,-x+3/4,-z+1/4'
'y+3/4,x+3/4,z+1/4'
'-x,y+1/2,-z'
'x,-y+1/2,z'
'y+3/4,x+1/4,-z+3/4'
'-y+3/4,-x+1/4,z+3/4'
loop_
_atom_site_label
_atom_site_type_symbol
_atom_site_fract_x
_atom_site_fract_y
_atom_site_fract_z
K1 K 0.0000 0.2500 0.3750
Ni1 Ni 0.0000 0.0000 0.0000
P1 P 0.0000 0.2500 0.8750
```

Properties
For the density of states at the Fermi level, the calculation gives 12.4 states/eV/cell. The value obtained for the total moment is 0.000 μB/atom. For the calculated formation energy, the calculation gives -8.6 kJ/mol of atoms. The calculation puts the raw total energy at -73.70 eV/cell.

Record 2
This record from Alexandria via LeMat-Bulk describes a geometry-optimized KNiP2 structure. The functional is PBE.

Structure (CIF):
```
data_KNiP2
_symmetry_space_group_name_H-M 'I m m m'
_symmetry_Int_Tables_number 71
_symmetry_space_group_name_Hall '-I 2 2'
_cell_length_a 3.8651
_cell_length_b 6.5895
_cell_length_c 7.5178
_cell_angle_alpha 90.00
_cell_angle_beta 90.00
_cell_angle_gamma 90.00
loop_
_atom_site_label
_atom_site_type_symbol
_atom_site_fract_x
_atom_site_fract_y
_atom_site_fract_z
K1 K 0.0000 0.0000 0.0000
Ni1 Ni 0.0000 0.0000 0.5000
P1 P 0.0000 0.5000 0.1430
```

Properties
For the density of states at the Fermi level, the calculation gives 5.9 states/eV/cell. The value obtained for the total moment is 0.000 μB/atom. For the calculated formation energy, the calculation gives -21.1 kJ/mol of atoms. The distance to the lowest polymorph of the same formula is 144 meV per atom. The calculation puts the raw total energy at -37.15 eV/cell.

Record 3
This record from Alexandria via LeMat-Bulk describes a geometry-optimized KNi2P structure. The functional is PBE.

Structure (CIF):
```
data_KNi2P
_symmetry_space_group_name_H-M 'I m m m'
_symmetry_Int_Tables_number 71
_symmetry_space_group_name_Hall '-I 2 2'
_cell_length_a 3.3258
_cell_length_b 5.9026
_cell_length_c 8.6833
_cell_angle_alpha 90.00
_cell_angle_beta 90.00
_cell_angle_gamma 90.00
loop_
_atom_site_label
_atom_site_type_symbol
_atom_site_fract_x
_atom_site_fract_y
_atom_site_fract_z
K1 K 0.0000 0.0000 0.0000
Ni1 Ni 0.0000 0.5000 0.1504
P1 P 0.0000 0.0000 0.5000
```

Properties
For the density of states at the Fermi level, the calculation gives 3.9 states/eV/cell. The value obtained for the total moment is 0.000 μB/atom. For the calculated formation energy, the calculation gives 15.5 kJ/mol of atoms. The calculation puts the raw total energy at -34.85 eV/cell.

Record 4
This record from Alexandria via LeMat-Bulk describes a geometry-optimized KNi2P structure. The functional is PBE.

Structure (CIF):
```
data_KNi2P
_symmetry_space_group_name_H-M 'P 4/m m m'
_symmetry_Int_Tables_number 123
_symmetry_space_group_name_Hall '-P 4 2'
_cell_length_a 2.8879
_cell_length_b 2.8879
_cell_length_c 7.8491
_cell_angle_alpha 90.00
_cell_angle_beta 90.00
_cell_angle_gamma 90.00
loop_
_atom_site_label
_atom_site_type_symbol
_atom_site_fract_x
_atom_site_fract_y
_atom_site_fract_z
K1 K 0.0000 0.0000 0.0000
Ni1 Ni 0.5000 0.5000 0.3441
P1 P 0.0000 0.0000 0.5000
```

Properties
For the density of states at the Fermi level, the calculation gives 1.6 states/eV/cell. The value obtained for the total moment is 0.000 μB/atom. For the calculated formation energy, the calculation gives 17.6 kJ/mol of atoms. The calculation puts the raw total energy at -17.34 eV/cell.

Record 5
This record from Alexandria via LeMat-Bulk describes a geometry-optimized KNiP2 structure. The functional is PBE.

Structure (CIF):
```
data_KNiP2
_symmetry_space_group_name_H-M 'P 4 m m'
_symmetry_Int_Tables_number 99
_symmetry_space_group_name_Hall 'P 4 -2'
_cell_length_a 3.2093
_cell_length_b 3.2093
_cell_length_c 7.2223
_cell_angle_alpha 90.00
_cell_angle_beta 90.00
_cell_angle_gamma 90.00
loop_
_atom_site_label
_atom_site_type_symbol
_atom_site_fract_x
_atom_site_fract_y
_atom_site_fract_z
K1 K 0.0000 0.0000 0.0000
Ni1 Ni 0.5000 0.5000 0.3799
P1 P 0.0000 0.0000 0.4651
P2 P 0.5000 0.5000 0.6813
```

Properties
For the density of states at the Fermi level, the calculation gives 2.4 states/eV/cell. The value obtained for the total moment is 0.000 μB/atom. For the calculated formation energy, the calculation gives 14.1 kJ/mol of atoms. The distance to the lowest polymorph of the same formula is 509 meV per atom. The calculation puts the raw total energy at -17.11 eV/cell.

Record 6
This record from Alexandria via LeMat-Bulk describes a geometry-optimized KNi3P structure. The functional is PBE.

Structure (CIF):
```
data_KNi3P
_symmetry_space_group_name_H-M 'P m -3 m'
_symmetry_Int_Tables_number 221
_symmetry_space_group_name_Hall '-P 4 2 3'
_cell_length_a 4.3716
_cell_length_b 4.3716
_cell_length_c 4.3716
_cell_angle_alpha 90.00
_cell_angle_beta 90.00
_cell_angle_gamma 90.00
loop_
_atom_site_label
_atom_site_type_symbol
_atom_site_fract_x
_atom_site_fract_y
_atom_site_fract_z
K1 K 0.0000 0.0000 0.0000
Ni1 Ni 0.0000 0.5000 0.5000
P1 P 0.5000 0.5000 0.5000
```

Properties
For the density of states at the Fermi level, the calculation gives 10.4 states/eV/cell. The value obtained for the total moment is 0.179 μB/atom. For the calculated formation energy, the calculation gives 13.1 kJ/mol of atoms. The distance to the lowest polymorph of the same formula is 0 meV per atom. The calculation puts the raw total energy at -23.17 eV/cell.

Record 7
This record from Alexandria via LeMat-Bulk describes a geometry-optimized KNiP2 structure. The functional is PBE.

Structure (CIF):
```
data_KNiP2
_symmetry_space_group_name_H-M 'I 41/a m d'
_symmetry_Int_Tables_number 141
_cell_length_a 4.8641
_cell_length_b 4.8641
_cell_length_c 14.8187
_cell_angle_alpha 90.00
_cell_angle_beta 90.00
_cell_angle_gamma 90.00
loop_
_symmetry_equiv_pos_as_xyz
'x,y,z'
'-x,-y,-z'
'-y+1/4,x+3/4,z+1/4'
'y+1/4,-x+3/4,-z+1/4'
'-x+1/2,-y,z+1/2'
'x+1/2,y,-z+1/2'
'y+1/4,-x+1/4,z+3/4'
'-y+1/4,x+1/4,-z+3/4'
'x,-y,-z'
'-x,y,z'
'-y+1/4,-x+1/4,-z+3/4'
'y+1/4,x+1/4,z+3/4'
'-x+1/2,y,-z+1/2'
'x+1/2,-y,z+1/2'
'y+1/4,x+3/4,-z+1/4'
'-y+1/4,-x+3/4,z+1/4'
'x+1/2,y+1/2,z+1/2'
'-x+1/2,-y+1/2,-z+1/2'
'-y+3/4,x+1/4,z+3/4'
'y+3/4,-x+1/4,-z+3/4'
'-x,-y+1/2,z'
'x,y+1/2,-z'
'y+3/4,-x+3/4,z+1/4'
'-y+3/4,x+3/4,-z+1/4'
'x+1/2,-y+1/2,-z+1/2'
'-x+1/2,y+1/2,z+1/2'
'-y+3/4,-x+3/4,-z+1/4'
'y+3/4,x+3/4,z+1/4'
'-x,y+1/2,-z'
'x,-y+1/2,z'
'y+3/4,x+1/4,-z+3/4'
'-y+3/4,-x+1/4,z+3/4'
loop_
_atom_site_label
_atom_site_type_symbol
_atom_site_fract_x
_atom_site_fract_y
_atom_site_fract_z
K1 K 0.0000 0.2500 0.3750
Ni1 Ni 0.0000 0.2500 0.8750
P1 P 0.0000 0.0000 0.0000
```

Properties
For the density of states at the Fermi level, the calculation gives 11.3 states/eV/cell. The value obtained for the total moment is 0.000 μB/atom. For the calculated formation energy, the calculation gives -19.0 kJ/mol of atoms. The distance to the lowest polymorph of the same formula is 165 meV per atom. The calculation puts the raw total energy at -73.95 eV/cell.

Record 8
This record from Alexandria via LeMat-Bulk describes a geometry-optimized KNi2P structure. The functional is PBE.

Structure (CIF):
```
data_KNi2P
_symmetry_space_group_name_H-M 'I -4 m 2'
_symmetry_Int_Tables_number 119
_symmetry_space_group_name_Hall 'I -4 -2'
_cell_length_a 3.8719
_cell_length_b 3.8719
_cell_length_c 8.4749
_cell_angle_alpha 90.00
_cell_angle_beta 90.00
_cell_angle_gamma 90.00
loop_
_atom_site_label
_atom_site_type_symbol
_atom_site_fract_x
_atom_site_fract_y
_atom_site_fract_z
K1 K 0.0000 0.0000 0.0000
Ni1 Ni 0.0000 0.0000 0.5000
Ni2 Ni 0.0000 0.5000 0.7500
P1 P 0.0000 0.5000 0.2500
```

Properties
For the density of states at the Fermi level, the calculation gives 8.0 states/eV/cell. The value obtained for the total moment is 0.000 μB/atom. For the calculated formation energy, the calculation gives 74.2 kJ/mol of atoms. The calculation puts the raw total energy at -29.99 eV/cell.

raw total energy of number 8 (KNi2P)? -29.99 eV/cell

Please write out number 7 again, unchanged.
This record from Alexandria via LeMat-Bulk describes a geometry-optimized KNiP2 structure. The functional is PBE.

Structure (CIF):
```
data_KNiP2
_symmetry_space_group_name_H-M 'I 41/a m d'
_symmetry_Int_Tables_number 141
_cell_length_a 4.8641
_cell_length_b 4.8641
_cell_length_c 14.8187
_cell_angle_alpha 90.00
_cell_angle_beta 90.00
_cell_angle_gamma 90.00
loop_
_symmetry_equiv_pos_as_xyz
'x,y,z'
'-x,-y,-z'
'-y+1/4,x+3/4,z+1/4'
'y+1/4,-x+3/4,-z+1/4'
'-x+1/2,-y,z+1/2'
'x+1/2,y,-z+1/2'
'y+1/4,-x+1/4,z+3/4'
'-y+1/4,x+1/4,-z+3/4'
'x,-y,-z'
'-x,y,z'
'-y+1/4,-x+1/4,-z+3/4'
'y+1/4,x+1/4,z+3/4'
'-x+1/2,y,-z+1/2'
'x+1/2,-y,z+1/2'
'y+1/4,x+3/4,-z+1/4'
'-y+1/4,-x+3/4,z+1/4'
'x+1/2,y+1/2,z+1/2'
'-x+1/2,-y+1/2,-z+1/2'
'-y+3/4,x+1/4,z+3/4'
'y+3/4,-x+1/4,-z+3/4'
'-x,-y+1/2,z'
'x,y+1/2,-z'
'y+3/4,-x+3/4,z+1/4'
'-y+3/4,x+3/4,-z+1/4'
'x+1/2,-y+1/2,-z+1/2'
'-x+1/2,y+1/2,z+1/2'
'-y+3/4,-x+3/4,-z+1/4'
'y+3/4,x+3/4,z+1/4'
'-x,y+1/2,-z'
'x,-y+1/2,z'
'y+3/4,x+1/4,-z+3/4'
'-y+3/4,-x+1/4,z+3/4'
loop_
_atom_site_label
_atom_site_type_symbol
_atom_site_fract_x
_atom_site_fract_y
_atom_site_fract_z
K1 K 0.0000 0.2500 0.3750
Ni1 Ni 0.0000 0.2500 0.8750
P1 P 0.0000 0.0000 0.0000
```

Properties
For the density of states at the Fermi level, the calculation gives 11.3 states/eV/cell. The value obtained for the total moment is 0.000 μB/atom. For the calculated formation energy, the calculation gives -19.0 kJ/mol of atoms. The distance to the lowest polymorph of the same formula is 165 meV per atom. The calculation puts the raw total energy at -73.95 eV/cell.

What did the fourth record say?
This record from Alexandria via LeMat-Bulk describes a geometry-optimized KNi2P structure. The functional is PBE.

Structure (CIF):
```
data_KNi2P
_symmetry_space_group_name_H-M 'P 4/m m m'
_symmetry_Int_Tables_number 123
_symmetry_space_group_name_Hall '-P 4 2'
_cell_length_a 2.8879
_cell_length_b 2.8879
_cell_length_c 7.8491
_cell_angle_alpha 90.00
_cell_angle_beta 90.00
_cell_angle_gamma 90.00
loop_
_atom_site_label
_atom_site_type_symbol
_atom_site_fract_x
_atom_site_fract_y
_atom_site_fract_z
K1 K 0.0000 0.0000 0.0000
Ni1 Ni 0.5000 0.5000 0.3441
P1 P 0.0000 0.0000 0.5000
```

Properties
For the density of states at the Fermi level, the calculation gives 1.6 states/eV/cell. The value obtained for the total moment is 0.000 μB/atom. For the calculated formation energy, the calculation gives 17.6 kJ/mol of atoms. The calculation puts the raw total energy at -17.34 eV/cell.

Among the records above, which one has the highest raw total energy? number 5